# Tm2Cd5Hg

Tm2Cd5Hg after structural relaxation (PBE-GGA, Alexandria).

Symmetry = R-3m
Calculated density = 8.7 g cm⁻³
Offset from the most stable computed form = 181 meV/atom
Final energy = -14.3 eV for the cell shown

Cell lengths 4.763, 4.763, 11.069 Å; angles 77.58, 77.58, 60.00 degrees
Fractional positions:
Cd1 0.377 0.377 0.869
Hg1 0.000 0.000 0.000
Cd2 0.500 0.500 0.500
Tm1 0.096 0.096 0.712
Cd3 0.198 0.198 0.407
Cd4 0.623 0.623 0.131
Cd5 0.802 0.802 0.593
Tm2 0.904 0.904 0.288

---

# Tm7CdHg4

Tm7CdHg4 after structural relaxation (PBE-GGA, Alexandria).

Symmetry = C2/m
Calculated density = 10.7 g cm⁻³
Final energy = -35.6 eV for the cell shown

Cell lengths 5.516, 9.079, 8.106 Å; angles 60.20, 70.11, 72.31 degrees
Fractional positions:
Tm1 0.834 0.887 0.446
Tm2 0.166 0.113 0.554
Hg1 0.302 0.289 0.108
Cd1 0.000 0.000 0.000
Tm3 0.073 0.606 0.249
Hg2 0.465 0.692 0.377
Tm4 0.927 0.394 0.751
Tm5 0.713 0.353 0.222
Tm6 0.287 0.647 0.778
Hg3 0.698 0.711 0.892
Tm7 0.500 0.000 0.000
Hg4 0.535 0.308 0.623

---

Look up the calculated density of the second one.
10.7 g cm⁻³

---

Which of these has the highest calculated density?
Tm7CdHg4

---

Which of these has the lowest final energy?
Tm7CdHg4

---

Look up the final energy of the first one.
-14.3 eV for the cell shown